# 1
Entry from Alexandria via LeMat-Bulk: crystalline Rb3PaBr7 at its relaxed geometry (PBE).

The structure in POSCAR format:
```
Rb3PaBr7
1.0
7.187 0.239 3.645
-1.420 7.049 3.645
-0.144 -0.182 8.881
Br Rb Pa
7 3 1
Cartesian
4.371 1.028 4.591
6.520 2.282 11.254
0.721 6.870 11.254
3.732 4.717 8.514
4.535 5.731 13.678
-0.004 4.490 4.591
0.763 0.964 2.338
0.478 5.415 7.984
2.794 3.531 11.770
5.160 1.710 7.984
5.494 6.944 7.319
```

Space group: No. 8
M_tot, μB per cell: 1.00
E_form (uncorrected), eV per formula unit: -17.87
Density, Mg/m³: 3.76

***

# 2
Entry from Alexandria via LeMat-Bulk: crystalline RbPaBr4 at its relaxed geometry (PBE).

The structure in POSCAR format:
```
RbPaBr4
1.0
4.016 0.000 0.747
1.718 9.658 1.930
-0.323 0.848 12.902
Rb Br Pa
2 8 2
Cartesian
1.193 3.051 10.346
4.218 7.455 5.233
1.711 7.356 7.555
2.221 0.991 4.807
4.499 4.262 3.729
3.699 3.151 8.024
3.189 9.516 10.772
0.911 6.244 11.850
2.696 2.951 13.414
2.714 7.555 2.165
-0.162 0.424 6.451
2.867 4.829 1.339
```

Space group: No. 12
M_tot, μB per cell: 4.00
E_form (uncorrected), eV per formula unit: -8.63
Density, Mg/m³: 4.25